Computed, not measured: a relaxed CdSn2Rh crystal at the PBE level of DFT.

For the formation energy, the calculation gives -62.0 kJ/mol of formula units. The calculation puts the energy at -16.9 eV for the cell shown.

Geometry as POSCAR:
```
CdSn2Rh
1.0
4.531 0.000 0.000
2.265 3.924 0.000
2.265 1.308 5.100
Cd Sn Rh
1 2 1
direct
0.493 0.493 0.521
0.060 0.060 0.819
0.272 0.272 0.183
0.674 0.674 0.977
```



Computed, not measured: a relaxed BaSr2UO6 crystal at the PBE level of DFT.

The polymorph energy (0 for the lowest one) is 0.000 eV/atom. The calculation puts the energy at -154.6 eV for the cell shown. The calculation puts the formation energy from raw total energies at -31.0 eV per formula unit.

Geometry as POSCAR:
```
BaSr2UO6
1.0
-1.212 -1.625 6.006
5.555 -2.662 0.401
9.008 4.972 3.163
Ba Sr U O
2 4 2 12
direct
0.787 0.760 0.750
0.213 0.760 0.250
0.754 0.502 0.498
0.246 0.502 0.998
0.700 0.243 0.242
0.300 0.243 0.742
0.751 0.999 0.001
0.249 0.999 0.501
0.509 0.128 0.565
0.491 0.128 0.065
0.973 0.895 0.434
0.027 0.895 0.934
0.440 0.773 0.458
0.560 0.773 0.958
0.071 0.225 0.552
0.929 0.225 0.052
0.304 0.316 0.275
0.696 0.316 0.775
0.210 0.660 0.725
0.790 0.660 0.225
```



Computed, not measured: a relaxed RbPmSn2F8 crystal at the PBE level of DFT.

The calculation puts the energy at -64.2 eV for the cell shown. The calculation puts the formation energy from raw total energies at -35.5 eV per formula unit.

Geometry as POSCAR:
```
RbPmSn2F8
1.0
-3.207 1.739 -2.213
-3.802 -4.486 2.037
-1.684 5.402 6.356
Rb Pm Sn F
1 1 2 8
direct
0.000 0.000 0.500
0.000 0.000 0.000
0.486 0.532 0.746
0.514 0.468 0.254
0.986 0.785 0.197
0.500 0.812 0.941
0.993 0.290 0.219
0.014 0.215 0.803
0.500 0.188 0.059
0.007 0.710 0.781
0.501 0.722 0.552
0.499 0.278 0.448
```



Computed, not measured: a relaxed LiAcTb crystal at the PBE level of DFT.

For the formation energy, the calculation gives 25.5 kJ/mol of formula units. The polymorph energy (0 for the lowest one) is 0.000 eV/atom. The calculation puts the energy at -10.4 eV for the cell shown.

Geometry as POSCAR:
```
LiAcTb
1.0
-1.638 2.027 -2.916
1.946 -2.174 -2.604
-4.933 -4.014 2.602
Ac Tb Li
1 1 1
direct
0.322 0.322 0.645
0.022 0.022 0.044
0.656 0.656 0.311
```



Computed, not measured: a relaxed Nb3V2Co4 crystal at the PBE level of DFT.

For the formation energy, the calculation gives -20.9 kJ/mol of formula units. The calculation puts the energy at -77.1 eV for the cell shown.

Geometry as POSCAR:
```
Nb3V2Co4
1.0
4.167 0.000 0.000
-2.084 4.515 -0.473
0.000 -2.494 6.989
Nb V Co
3 2 4
direct
0.631 0.262 0.699
0.000 0.000 0.000
0.369 0.738 0.301
0.681 0.363 0.337
0.319 0.637 0.663
0.737 0.475 0.075
0.263 0.525 0.925
0.933 0.866 0.617
0.067 0.134 0.383
```



Computed, not measured: a relaxed AsC3 crystal at the PBE level of DFT.

For the formation energy, the calculation gives 399.0 kJ/mol of formula units. The polymorph energy (0 for the lowest one) is 0.272 eV/atom. The calculation puts the energy at -28.2 eV for the cell shown.

Geometry as POSCAR:
```
AsC3
1.0
-0.674 1.030 2.465
-3.773 0.393 0.334
-1.019 -4.478 1.593
As C
1 3
direct
0.008 0.620 0.676
0.128 0.379 0.338
0.621 0.392 0.197
0.611 0.411 0.907
```